# NaCeCuTe4 | Alexandria | GGA-PBE | optimized geometry
# - formation energy without anion corrections (eV/f.u.) = -5.39
# - uncorrected energy (eV/atom) = -4.1862
data_NaCeCuTe4
_space_group_name_H-M_alt 'P 4/n m m'
_space_group_IT_number 129
_cell_length_a 4.420
_cell_length_b 4.420
_cell_length_c 20.133
_cell_angle_alpha 90.00
_cell_angle_beta 90.00
_cell_angle_gamma 90.00
loop_
_space_group_symop_operation_xyz
'x,y,z'
'-x,-y,-z'
'-y+1/2,x,z'
'y+1/2,-x,-z'
'-x+1/2,-y+1/2,z'
'x+1/2,y+1/2,-z'
'y,-x+1/2,z'
'-y,x+1/2,-z'
'x+1/2,-y,-z'
'-x+1/2,y,z'
'-y,-x,-z'
'y,x,z'
'-x,y+1/2,-z'
'x,-y+1/2,z'
'y+1/2,x+1/2,-z'
'-y+1/2,-x+1/2,z'
loop_
_atom_site_label
_atom_site_fract_x
_atom_site_fract_y
_atom_site_fract_z
Na1 0.250 0.250 0.129
Ce1 0.250 0.250 0.605
Cu1 0.250 0.750 0.000
Te1 0.250 0.250 0.441
Te2 0.250 0.250 0.923
Te3 0.250 0.750 0.274

***

# CaOs2Rh | Alexandria | GGA-PBE | optimized geometry
# - formation energy (kJ/mol of formula units) = 305.9
# - excess energy over the best structure of this formula in the dataset (eV/atom) = 0.5756
# - uncorrected energy (eV/atom) = -7.1606
data_CaOs2Rh
_space_group_name_H-M_alt 'I -4 2 d'
_space_group_IT_number 122
_space_group_name_Hall 'I -4 2bw'
_cell_length_a 7.772
_cell_length_b 7.772
_cell_length_c 4.987
_cell_angle_alpha 90.00
_cell_angle_beta 90.00
_cell_angle_gamma 90.00
loop_
_atom_site_label
_atom_site_fract_x
_atom_site_fract_y
_atom_site_fract_z
Ca1 0.000 0.000 0.000
Os1 0.194 0.750 0.625
Rh1 0.000 0.000 0.500

***

# ZrTeIrAu2 | Alexandria | GGA-PBE | optimized geometry
# - formation energy without anion corrections (eV/f.u.) = 4.78
# - uncorrected energy (eV/atom) = -4.4656
data_ZrTeIrAu2
_space_group_name_H-M_alt 'P 4/m m m'
_space_group_IT_number 123
_space_group_name_Hall '-P 4 2'
_cell_length_a 5.232
_cell_length_b 5.232
_cell_length_c 4.895
_cell_angle_alpha 90.00
_cell_angle_beta 90.00
_cell_angle_gamma 90.00
loop_
_atom_site_label
_atom_site_fract_x
_atom_site_fract_y
_atom_site_fract_z
Zr1 0.000 0.000 0.000
Te1 0.500 0.500 0.500
Ir1 0.000 0.000 0.500
Au1 0.000 0.500 0.000

***

# KAlSi2 | Alexandria | GGA-PBE | optimized geometry
# - formation energy without anion corrections (eV/f.u.) = 0.80
# - uncorrected energy (eV/atom) = -3.7206
data_KAlSi2
_space_group_name_H-M_alt 'P 1 2/m 1'
_space_group_IT_number 10
_cell_length_a 2.988
_cell_length_b 4.597
_cell_length_c 6.838
_cell_angle_alpha 90.00
_cell_angle_beta 99.75
_cell_angle_gamma 90.00
loop_
_space_group_symop_operation_xyz
'x,y,z'
'-x,-y,-z'
'-x,y,-z'
'x,-y,z'
loop_
_atom_site_label
_atom_site_fract_x
_atom_site_fract_y
_atom_site_fract_z
K1 0.000 0.000 0.000
Al1 0.500 0.000 0.500
Si1 0.302 0.500 0.649

***

# AlZn2TeMo | Alexandria | GGA-PBE | optimized geometry
# - formation energy without anion corrections (eV/f.u.) = 7.08
# - uncorrected energy (eV/atom) = -2.6363
data_AlZn2TeMo
_space_group_name_H-M_alt 'P 4/m m m'
_space_group_IT_number 123
_space_group_name_Hall '-P 4 2'
_cell_length_a 5.144
_cell_length_b 5.144
_cell_length_c 5.501
_cell_angle_alpha 90.00
_cell_angle_beta 90.00
_cell_angle_gamma 90.00
loop_
_atom_site_label
_atom_site_fract_x
_atom_site_fract_y
_atom_site_fract_z
Al1 0.000 0.000 0.000
Zn1 0.000 0.500 0.500
Te1 0.000 0.000 0.500
Mo1 0.500 0.500 0.000

***

# CaNb2SbAu | Alexandria | GGA-PBE | optimized geometry
# - formation energy without anion corrections (eV/f.u.) = 9.24
# - uncorrected energy (eV/atom) = -4.0593
data_CaNb2SbAu
_space_group_name_H-M_alt 'P 4/m m m'
_space_group_IT_number 123
_space_group_name_Hall '-P 4 2'
_cell_length_a 4.792
_cell_length_b 4.792
_cell_length_c 5.339
_cell_angle_alpha 90.00
_cell_angle_beta 90.00
_cell_angle_gamma 90.00
loop_
_atom_site_label
_atom_site_fract_x
_atom_site_fract_y
_atom_site_fract_z
Ca1 0.000 0.000 0.000
Nb1 0.000 0.500 0.000
Sb1 0.000 0.000 0.500
Au1 0.500 0.500 0.500

***

# Sc2TcPd | Alexandria | GGA-PBE | optimized geometry
# - formation energy (kJ/mol of formula units) = 92.6
# - excess energy over the best structure of this formula in the dataset (eV/atom) = 0.8189
# - uncorrected energy (eV/atom) = -6.8156
data_Sc2TcPd
_space_group_name_H-M_alt 'I -4 2 d'
_space_group_IT_number 122
_space_group_name_Hall 'I -4 2bw'
_cell_length_a 4.207
_cell_length_b 4.207
_cell_length_c 17.577
_cell_angle_alpha 90.00
_cell_angle_beta 90.00
_cell_angle_gamma 90.00
loop_
_atom_site_label
_atom_site_fract_x
_atom_site_fract_y
_atom_site_fract_z
Sc1 0.242 0.250 0.125
Tc1 0.000 0.000 0.000
Pd1 0.000 0.000 0.500

***

# MgScSn2N | Alexandria | GGA-PBE | optimized geometry
# - formation energy without anion corrections (eV/f.u.) = 7.72
# - uncorrected energy (eV/atom) = -3.3074
data_MgScSn2N
_space_group_name_H-M_alt 'P 4/m m m'
_space_group_IT_number 123
_space_group_name_Hall '-P 4 2'
_cell_length_a 5.090
_cell_length_b 5.090
_cell_length_c 5.340
_cell_angle_alpha 90.00
_cell_angle_beta 90.00
_cell_angle_gamma 90.00
loop_
_atom_site_label
_atom_site_fract_x
_atom_site_fract_y
_atom_site_fract_z
Mg1 0.000 0.000 0.000
Sc1 0.000 0.000 0.500
Sn1 0.000 0.500 0.000
N1 0.500 0.500 0.500